VASP calculation (PBE) on a relaxed structure of Mn2MoCl.

Results
total magnetic moment = 6.567 μB/cell
distance to the lowest polymorph of the same formula = 31.9 meV per atom
uncorrected formation energy = 16.8 kJ/mol of atoms
crystal system = trigonal
space group = R-3m, No. 166

Lattice parameters (Å, degrees): 8.120 8.120 8.120 21.63 21.63 21.63
Each line ends with the local moment (μB).
Fractional positions:
Mo1 0.250 0.250 0.250  -0.72
Mn1 0.501 0.501 0.501  3.46
Mn2 0.999 0.999 0.999  3.46
Cl1 0.750 0.750 0.750  0.08

***

VASP calculation (PBE) on a relaxed structure of Sm4GaSCl2.

Results
total magnetic moment = 0.000 μB/cell
uncorrected formation energy = -131.0 kJ/mol of atoms
crystal system = monoclinic
space group = P2/m, No. 10

Lattice parameters (Å, degrees): 4.140 7.303 7.047 70.25 90.00 90.00
Fractional positions:
Sm1 0.000 0.272 0.251
Sm2 0.500 0.282 0.733
Sm3 0.500 0.718 0.267
Sm4 0.000 0.728 0.749
Ga1 0.500 0.500 0.000
Cl1 0.500 0.000 0.500
Cl2 0.000 0.000 0.000
S1 0.000 0.500 0.500

***

VASP calculation (PBE) on a relaxed structure of Li2TeAu2.

Results
total magnetic moment = 0.000 μB/cell
distance to the lowest polymorph of the same formula = 240.1 meV per atom
uncorrected formation energy = -19.7 kJ/mol of atoms
crystal system = tetragonal
space group = I4/mmm, No. 139

Lattice parameters (Å, degrees): 4.114 4.114 6.611 71.87 71.87 90.00
Fractional positions:
Au1 0.615 0.615 0.770
Au2 0.385 0.385 0.230
Li1 0.250 0.750 0.500
Li2 0.750 0.250 0.500
Te1 0.000 0.000 0.000

***

VASP calculation (PBE) on a relaxed structure of NbSn2BiAs.

Results
total magnetic moment = 2.772 μB/cell
ΔH_f (0 K) = 0.65 eV per atom
crystal system = tetragonal
space group = P4/mmm, No. 123

Lattice parameters (Å, degrees): 5.415 5.458 5.415 90.00 90.00 90.00
Each line ends with the local moment (μB).
Fractional positions:
As1 0.500 0.500 0.500  0.77
Bi1 0.000 0.500 0.000  -0.05
Sn1 0.000 0.000 0.500  0.04
Sn2 0.500 0.000 0.000  0.02
Nb1 0.000 0.000 0.000  0.90